Record 1
# BaSnI3, optimized geometry, DFT GGA-PBE
data_BaSnI3
_chemical_formula_sum 'Ba1 Sn1 I3'
_cell_length_a 6.6703
_cell_length_b 6.6703
_cell_length_c 6.6703
_cell_angle_alpha 90.00
_cell_angle_beta 90.00
_cell_angle_gamma 90.00
_symmetry_space_group_name_H-M 'P 1'
_symmetry_Int_Tables_number 1
loop_
_symmetry_equiv_pos_as_xyz
'x,y,z'
loop_
_atom_site_label
_atom_site_type_symbol
_atom_site_fract_x
_atom_site_fract_y
_atom_site_fract_z
Sn1 Sn 0.5000 0.5000 0.5000
I1 I 0.5000 0.0000 0.0000
I2 I 0.0000 0.0000 0.5000
I3 I 0.0000 0.5000 0.0000
Ba1 Ba 0.0000 0.0000 0.0000
# Energy relative to the lowest polymorph listed for this composition: 91 meV per atom
# Crystal system: cubic
# Uncorrected formation energy: -290 kJ/mol of formula units

---

Record 2
# Ba2SnI, optimized geometry, DFT GGA-PBE
data_Ba2SnI
_chemical_formula_sum 'Ba4 Sn2 I2'
_cell_length_a 4.7624
_cell_length_b 5.2965
_cell_length_c 13.6540
_cell_angle_alpha 101.18
_cell_angle_beta 90.00
_cell_angle_gamma 90.00
_symmetry_space_group_name_H-M 'P 1'
_symmetry_Int_Tables_number 1
loop_
_symmetry_equiv_pos_as_xyz
'x,y,z'
loop_
_atom_site_label
_atom_site_type_symbol
_atom_site_fract_x
_atom_site_fract_y
_atom_site_fract_z
I1 I 0.7500 0.8067 0.6135
I2 I 0.2500 0.1933 0.3865
Sn1 Sn 0.2500 0.4625 0.9249
Sn2 Sn 0.7500 0.5375 0.0751
Ba1 Ba 0.7500 0.9386 0.8772
Ba2 Ba 0.7500 0.6717 0.3434
Ba3 Ba 0.2500 0.0614 0.1228
Ba4 Ba 0.2500 0.3283 0.6566
# Energy relative to the lowest polymorph listed for this composition: 19 meV per atom
# Crystal system: orthorhombic
# Uncorrected formation energy: -390 kJ/mol of formula units

---

Record 3
# BaSr2SnI8, optimized geometry, DFT GGA-PBE
data_BaSr2SnI8
_chemical_formula_sum 'Ba1 Sr2 Sn1 I8'
_cell_length_a 7.8883
_cell_length_b 7.5164
_cell_length_c 9.9788
_cell_angle_alpha 90.00
_cell_angle_beta 90.00
_cell_angle_gamma 89.95
_symmetry_space_group_name_H-M 'P 1'
_symmetry_Int_Tables_number 1
loop_
_symmetry_equiv_pos_as_xyz
'x,y,z'
loop_
_atom_site_label
_atom_site_type_symbol
_atom_site_fract_x
_atom_site_fract_y
_atom_site_fract_z
I1 I 0.6617 0.7493 0.0000
I2 I 0.3383 0.2507 0.0000
I3 I 0.3589 0.2647 0.5000
I4 I 0.1543 0.7543 0.7672
I5 I 0.6411 0.7353 0.5000
I6 I 0.8457 0.2457 0.2328
I7 I 0.8457 0.2457 0.7672
I8 I 0.1543 0.7543 0.2328
Sr1 Sr 0.5000 0.5000 0.2426
Sr2 Sr 0.5000 0.5000 0.7574
Ba1 Ba 0.0000 0.0000 0.5000
Sn1 Sn 0.0000 0.0000 0.0000
# Crystal system: monoclinic
# Uncorrected formation energy: -1611 kJ/mol of formula units

---

Record 4
# BaSnTe2I, optimized geometry, DFT GGA-PBE
data_BaSnTe2I
_chemical_formula_sum 'Ba1 Sn1 Te2 I1'
_cell_length_a 6.4610
_cell_length_b 6.4610
_cell_length_c 6.4096
_cell_angle_alpha 90.00
_cell_angle_beta 90.00
_cell_angle_gamma 90.00
_symmetry_space_group_name_H-M 'P 1'
_symmetry_Int_Tables_number 1
loop_
_symmetry_equiv_pos_as_xyz
'x,y,z'
loop_
_atom_site_label
_atom_site_type_symbol
_atom_site_fract_x
_atom_site_fract_y
_atom_site_fract_z
Ba1 Ba 0.0000 0.0000 0.0000
Te1 Te 0.0000 0.5000 0.0000
Te2 Te 0.5000 0.0000 0.0000
I1 I 0.0000 0.0000 0.5000
Sn1 Sn 0.5000 0.5000 0.5000
# Energy relative to the lowest polymorph listed for this composition: 742 meV per atom
# Crystal system: tetragonal
# Uncorrected formation energy: 13 kJ/mol of formula units

---

Record 5
# Ba4SnTeI2, optimized geometry, DFT GGA-PBE
data_Ba4SnTeI2
_chemical_formula_sum 'Ba4 Sn1 Te1 I2'
_cell_length_a 5.0957
_cell_length_b 8.8938
_cell_length_c 8.8420
_cell_angle_alpha 70.65
_cell_angle_beta 90.00
_cell_angle_gamma 90.00
_symmetry_space_group_name_H-M 'P 1'
_symmetry_Int_Tables_number 1
loop_
_symmetry_equiv_pos_as_xyz
'x,y,z'
loop_
_atom_site_label
_atom_site_type_symbol
_atom_site_fract_x
_atom_site_fract_y
_atom_site_fract_z
Ba1 Ba 0.5000 0.2795 0.7321
Ba2 Ba 0.0000 0.7179 0.7489
Ba3 Ba 0.5000 0.7205 0.2679
Ba4 Ba 0.0000 0.2821 0.2511
Te1 Te 0.5000 0.5000 0.0000
I1 I 0.5000 0.0000 0.5000
I2 I 0.0000 0.0000 0.0000
Sn1 Sn 0.0000 0.5000 0.5000
# Crystal system: monoclinic
# Uncorrected formation energy: -1044 kJ/mol of formula units

---

Record 6
# BaSnTe2I, optimized geometry, DFT GGA-PBE
data_BaSnTe2I
_chemical_formula_sum 'Ba1 Sn1 Te2 I1'
_cell_length_a 6.1590
_cell_length_b 5.7400
_cell_length_c 6.1590
_cell_angle_alpha 90.00
_cell_angle_beta 90.00
_cell_angle_gamma 90.00
_symmetry_space_group_name_H-M 'P 1'
_symmetry_Int_Tables_number 1
loop_
_symmetry_equiv_pos_as_xyz
'x,y,z'
loop_
_atom_site_label
_atom_site_type_symbol
_atom_site_fract_x
_atom_site_fract_y
_atom_site_fract_z
I1 I 0.0000 0.0000 0.0000
Te1 Te 0.0000 0.0000 0.5000
Te2 Te 0.5000 0.0000 0.0000
Sn1 Sn 0.0000 0.5000 0.0000
Ba1 Ba 0.5000 0.5000 0.5000
# Energy relative to the lowest polymorph listed for this composition: 682 meV per atom
# Crystal system: tetragonal
# Uncorrected formation energy: -16 kJ/mol of formula units

---

Record 7
# BaSnTe2I, optimized geometry, DFT GGA-PBE
data_BaSnTe2I
_chemical_formula_sum 'Ba1 Sn1 Te2 I1'
_cell_length_a 5.8367
_cell_length_b 5.8367
_cell_length_c 6.0014
_cell_angle_alpha 90.00
_cell_angle_beta 90.00
_cell_angle_gamma 90.00
_symmetry_space_group_name_H-M 'P 1'
_symmetry_Int_Tables_number 1
loop_
_symmetry_equiv_pos_as_xyz
'x,y,z'
loop_
_atom_site_label
_atom_site_type_symbol
_atom_site_fract_x
_atom_site_fract_y
_atom_site_fract_z
Sn1 Sn 0.0000 0.0000 0.0000
Te1 Te 0.0000 0.5000 0.0000
Te2 Te 0.5000 0.0000 0.0000
I1 I 0.0000 0.0000 0.5000
Ba1 Ba 0.5000 0.5000 0.5000
# Energy relative to the lowest polymorph listed for this composition: 0 meV per atom
# Crystal system: tetragonal
# Uncorrected formation energy: -346 kJ/mol of formula units

---

Record 8
# Ba6Sn2TeI3, optimized geometry, DFT GGA-PBE
data_Ba6Sn2TeI3
_chemical_formula_sum 'Ba6 Sn2 Te1 I3'
_cell_length_a 4.8746
_cell_length_b 10.6005
_cell_length_c 11.5426
_cell_angle_alpha 103.30
_cell_angle_beta 102.19
_cell_angle_gamma 90.00
_symmetry_space_group_name_H-M 'P 1'
_symmetry_Int_Tables_number 1
loop_
_symmetry_equiv_pos_as_xyz
'x,y,z'
loop_
_atom_site_label
_atom_site_type_symbol
_atom_site_fract_x
_atom_site_fract_y
_atom_site_fract_z
I1 I 0.8384 0.1683 0.6767
I2 I 0.1616 0.8317 0.3233
I3 I 0.5000 0.5000 0.0000
Ba1 Ba 0.6631 0.0964 0.3262
Ba2 Ba 0.0110 0.2402 0.0221
Ba3 Ba 0.9890 0.7598 0.9779
Ba4 Ba 0.3251 0.4310 0.6501
Ba5 Ba 0.6749 0.5690 0.3499
Ba6 Ba 0.3369 0.9036 0.6738
Sn1 Sn 0.8348 0.6730 0.6696
Sn2 Sn 0.1652 0.3270 0.3303
Te1 Te 0.5000 0.0000 0.0000
# Crystal system: monoclinic
# Uncorrected formation energy: -1426 kJ/mol of formula units

---

Record 9
# BaTl2SnI6, optimized geometry, DFT GGA-PBE
data_BaTl2SnI6
_chemical_formula_sum 'Ba2 Tl4 Sn2 I12'
_cell_length_a 8.3416
_cell_length_b 9.0654
_cell_length_c 12.3234
_cell_angle_alpha 90.00
_cell_angle_beta 92.04
_cell_angle_gamma 90.00
_symmetry_space_group_name_H-M 'P 1'
_symmetry_Int_Tables_number 1
loop_
_symmetry_equiv_pos_as_xyz
'x,y,z'
loop_
_atom_site_label
_atom_site_type_symbol
_atom_site_fract_x
_atom_site_fract_y
_atom_site_fract_z
Tl1 Tl 0.4600 0.4000 0.2631
Tl2 Tl 0.0400 0.9000 0.2369
Tl3 Tl 0.9600 0.1000 0.7631
Tl4 Tl 0.5400 0.6000 0.7369
I1 I 0.1617 0.1922 0.0679
I2 I 0.8383 0.8078 0.9321
I3 I 0.1845 0.1758 0.4238
I4 I 0.6486 0.0457 0.2642
I5 I 0.3155 0.6758 0.0762
I6 I 0.8514 0.5457 0.2358
I7 I 0.3383 0.6922 0.4321
I8 I 0.8155 0.8242 0.5762
I9 I 0.6845 0.3242 0.9238
I10 I 0.3514 0.9543 0.7358
I11 I 0.1486 0.4543 0.7642
I12 I 0.6617 0.3078 0.5679
Sn1 Sn 0.5000 0.0000 0.5000
Sn2 Sn 0.0000 0.5000 0.0000
Ba1 Ba 0.0000 0.5000 0.5000
Ba2 Ba 0.5000 0.0000 0.0000
# Crystal system: monoclinic
# Uncorrected formation energy: -894 kJ/mol of formula units

---

Record 10
# BaSnWI2, optimized geometry, DFT GGA-PBE
data_BaSnWI2
_chemical_formula_sum 'Ba1 Sn1 W1 I2'
_cell_length_a 6.4995
_cell_length_b 6.7162
_cell_length_c 6.4995
_cell_angle_alpha 90.00
_cell_angle_beta 90.00
_cell_angle_gamma 90.00
_symmetry_space_group_name_H-M 'P 1'
_symmetry_Int_Tables_number 1
loop_
_symmetry_equiv_pos_as_xyz
'x,y,z'
loop_
_atom_site_label
_atom_site_type_symbol
_atom_site_fract_x
_atom_site_fract_y
_atom_site_fract_z
W1 W 0.0000 0.5000 0.0000
Ba1 Ba 0.0000 0.0000 0.0000
I1 I 0.5000 0.0000 0.0000
I2 I 0.0000 0.0000 0.5000
Sn1 Sn 0.5000 0.5000 0.5000
# Crystal system: tetragonal
# Uncorrected formation energy: 542 kJ/mol of formula units

---

Record 11
# Ba2Sr2I, optimized geometry, DFT GGA-PBE
data_Ba2Sr2I
_chemical_formula_sum 'Ba4 Sr4 I2'
_cell_length_a 9.1009
_cell_length_b 9.1009
_cell_length_c 6.9519
_cell_angle_alpha 90.00
_cell_angle_beta 90.00
_cell_angle_gamma 90.00
_symmetry_space_group_name_H-M 'P 1'
_symmetry_Int_Tables_number 1
loop_
_symmetry_equiv_pos_as_xyz
'x,y,z'
loop_
_atom_site_label
_atom_site_type_symbol
_atom_site_fract_x
_atom_site_fract_y
_atom_site_fract_z
I1 I 0.5000 0.5000 0.0000
I2 I 0.0000 0.0000 0.0000
Sr1 Sr 0.6566 0.1566 0.0000
Sr2 Sr 0.8434 0.6566 0.0000
Sr3 Sr 0.3434 0.8434 0.0000
Sr4 Sr 0.1566 0.3434 0.0000
Ba1 Ba 0.8432 0.3432 0.5000
Ba2 Ba 0.6568 0.8432 0.5000
Ba3 Ba 0.1568 0.6568 0.5000
Ba4 Ba 0.3432 0.1568 0.5000
# Energy relative to the lowest polymorph listed for this composition: 25 meV per atom
# Crystal system: tetragonal
# Uncorrected formation energy: -150 kJ/mol of formula units

---

Record 12
# Ba2SrI2, optimized geometry, DFT GGA-PBE
data_Ba2SrI2
_chemical_formula_sum 'Ba4 Sr2 I4'
_cell_length_a 10.0309
_cell_length_b 10.0309
_cell_length_c 4.3880
_cell_angle_alpha 90.00
_cell_angle_beta 90.00
_cell_angle_gamma 90.00
_symmetry_space_group_name_H-M 'P 1'
_symmetry_Int_Tables_number 1
loop_
_symmetry_equiv_pos_as_xyz
'x,y,z'
loop_
_atom_site_label
_atom_site_type_symbol
_atom_site_fract_x
_atom_site_fract_y
_atom_site_fract_z
Ba1 Ba 0.8352 0.3352 0.5000
Ba2 Ba 0.3352 0.1648 0.5000
Ba3 Ba 0.6648 0.8352 0.5000
Ba4 Ba 0.1648 0.6648 0.5000
I1 I 0.1349 0.3651 0.0000
I2 I 0.6349 0.1349 0.0000
I3 I 0.3651 0.8651 0.0000
I4 I 0.8651 0.6349 0.0000
Sr1 Sr 0.5000 0.5000 0.0000
Sr2 Sr 0.0000 0.0000 0.0000
# Energy relative to the lowest polymorph listed for this composition: 0 meV per atom
# Crystal system: tetragonal
# Uncorrected formation energy: -438 kJ/mol of formula units

---

The highest uncorrected formation energy belongs to which entry? BaSnWI2

---

Which formula does entry 7 have? BaSnTe2I